Entry 1:
Density functional theory data (PBEsol) for crystalline NaCl3 at its relaxed geometry.

Cell lengths 5.6172, 7.9052, 8.2901 Å; angles 90.00, 90.00, 90.00 degrees
Closest atoms and distances in Å follow each position.
Fractional coordinates of all 16 atoms:
Cl1 0.7500 0.2827 0.9222  1 Cl 2.16
Na1 0.7500 0.5420 0.6791  3 Cl 2.81-2.87
Cl2 0.2500 0.9526 0.3738  1 Cl 2.16
Cl3 0.2500 0.1467 0.1452  1 Cl 2.44
Cl4 0.7500 0.4526 0.1262  1 Cl 2.16
Na2 0.2500 0.0420 0.8209  3 Cl 2.81-2.87
Cl5 0.7500 0.6467 0.3548  1 Cl 2.44
Na3 0.2500 0.4580 0.3209  3 Cl 2.81-2.87
Cl6 0.2500 0.3533 0.6452  1 Cl 2.44
Cl7 0.2500 0.7173 0.0778  1 Cl 2.16
Na4 0.7500 0.9580 0.1791  3 Cl 2.81-2.87
Cl8 0.2500 0.5474 0.8738  1 Cl 2.16
Cl9 0.7500 0.8533 0.8548  1 Cl 2.44
Cl10 0.2500 0.7827 0.5778  1 Cl 2.16
Cl11 0.7500 0.2173 0.4222  1 Cl 2.16
Cl12 0.7500 0.0474 0.6262  1 Cl 2.16

Results
excess energy over the best structure of this formula in the dataset: 15 meV/atom
final energy: -0.100 hartree per atom
total magnetic moment: 0.0 μB per formula unit
uncorrected formation energy: -0.8575 eV/atom

Entry 2:
Density functional theory data (PBEsol) for crystalline NaNbPCl2 at its relaxed geometry.

Cell lengths 4.5618, 4.5618, 5.2536 Å; angles 90.00, 90.00, 90.00 degrees
Closest atoms and distances in Å follow each position.
Fractional coordinates of all 5 atoms:
Cl1 0.5000 0.0000 0.0000  2 Na 2.28
Cl2 0.0000 0.5000 0.0000  2 Na 2.28
Nb1 0.5000 0.5000 0.5000  4 P 3.23, 8 Cl 3.48
Na1 0.0000 0.0000 0.0000  4 Cl 2.28
P1 0.0000 0.0000 0.5000  2 Na 2.63

Results
final energy: -0.140 hartree per atom
total magnetic moment: 1.0 μB per formula unit
uncorrected formation energy: 0.5837 eV/atom

Entry 3:
Density functional theory data (PBEsol) for crystalline Rb2NaNdCl6 at its relaxed geometry.

Cell lengths 7.6061, 7.6061, 7.6061 Å; angles 60.00, 60.00, 60.00 degrees
Closest atoms and distances in Å follow each position.
Fractional coordinates of all 10 atoms:
Cl1 0.2500 0.2500 0.7500  1 Nd 2.69, 1 Na 2.69
Cl2 0.2500 0.7500 0.7500  1 Nd 2.69, 1 Na 2.69
Rb1 0.7500 0.7500 0.7500  12 Cl 3.80
Rb2 0.2500 0.2500 0.2500  12 Cl 3.80
Cl3 0.7500 0.2500 0.2500  1 Nd 2.69, 1 Na 2.69
Cl4 0.7500 0.2500 0.7500  1 Nd 2.69, 1 Na 2.69
Na1 0.5000 0.5000 0.5000  6 Cl 2.69
Nd1 0.0000 0.0000 0.0000  6 Cl 2.69
Cl5 0.2500 0.7500 0.2500  1 Nd 2.69, 1 Na 2.69
Cl6 0.7500 0.7500 0.2500  1 Nd 2.69, 1 Na 2.69

Results
final energy: -0.151 hartree per atom
total magnetic moment: 0.0 μB per formula unit
uncorrected formation energy: -2.0466 eV/atom

Entry 4:
Density functional theory data (PBEsol) for crystalline NaNi3Cl at its relaxed geometry.

Cell lengths 4.1544, 4.1544, 4.1544 Å; angles 90.00, 90.00, 90.00 degrees
Closest atoms and distances in Å follow each position.
Fractional coordinates of all 5 atoms:
Ni1 0.0000 0.0000 0.5000  2 Cl 2.08
Ni2 0.5000 0.0000 0.0000  2 Cl 2.08
Na1 0.5000 0.5000 0.5000  12 Ni 2.94
Ni3 0.0000 0.5000 0.0000  2 Cl 2.08
Cl1 0.0000 0.0000 0.0000  6 Ni 2.08

Results
final energy: -0.144 hartree per atom
total magnetic moment: 0.0 μB per formula unit
uncorrected formation energy: 0.4649 eV/atom